{
  "formula": "CuHg",
  "functional": "PBE",
  "state": "relaxed",
  "e_form_mev_per_atom": 199,
  "magmom_total_mub_per_cell": 0.00,
  "e_tot_ev_per_fu": -4.00,
  "lattice_angstrom": [[4.604, -4.326, 0.000], [4.604, 4.326, 0.000], [0.000, 0.000, 2.962]],
  "species": ["Hg", "Hg", "Cu", "Cu", "Cu", "Hg"],
  "frac_coords": [[0.493, 0.493, 0.000], [0.992, 0.516, 0.000], [0.776, 0.236, 0.500], [0.987, 0.987, 0.000], [0.236, 0.776, 0.500], [0.516, 0.992, 0.000]]
}

{
  "formula": "CuHg",
  "functional": "PBE",
  "state": "relaxed",
  "e_form_mev_per_atom": 98,
  "magmom_total_mub_per_cell": 0.00,
  "e_tot_ev_per_fu": -4.20,
  "lattice_angstrom": [[-2.887, 0.438, 4.540], [-2.437, -1.325, -4.631], [0.720, -4.413, 0.884]],
  "species": ["Cu", "Cu", "Hg", "Hg", "Hg", "Cu"],
  "frac_coords": [[0.500, 0.500, 0.000], [0.000, 0.500, 0.000], [0.000, 0.000, 0.000], [0.667, 0.333, 0.500], [0.333, 0.667, 0.500], [0.500, 0.000, 0.000]]
}